Density functional theory data (PBE-GGA) for an optimized crystal structure of Ho4SbTe2.

abc: 9.256 13.414 13.433
angles: 90.00 90.00 90.00
Space group Fddd (No. 70, origin choice 2)
Asymmetric unit:
Ho 0.070 0.280 0.470 [32 per cell]
Sb 0.125 0.125 0.625 [8 per cell]
Te 0.000 0.000 0.000 [16 per cell]

Properties
* formation energy (no corrections): -88.6 kJ per mole of atoms
* relative energy among the computed polymorphs: 36 meV/atom



Density functional theory data (PBE-GGA) for an optimized crystal structure of PmSm2Dy2Ho2.

abc: 11.291 5.056 8.006
angles: 90.00 98.17 90.00
Space group C2/m (No. 12)
Asymmetric unit:
Pm 0.000 0.000 0.000 [2 per cell]
Sm 0.143 0.000 0.429 [4 per cell]
Dy 0.215 0.500 0.142 [4 per cell]
Ho 0.072 0.500 0.715 [4 per cell]

Properties
* DFT formation energy: 0.02 eV/atom



| no. | total magnetization (μB/f.u.) |
| --- | --- |
| 1 | 0.000 |
| 2 | 0.000 |